1.
# TiV2P

A relaxed structure of TiV2P (GGA-PBE, the Alexandria database).

Results
Calculated formation energy: -0.184 eV per atom
SG: R-3m
Total moment: 0.00 Bohr magnetons per cell

The structure in extended XYZ format:
```
4
Lattice="1.5638 0.9029 7.0644 -1.5638 0.9029 7.0644 0.0000 -1.8058 7.0644" Properties=species:S:1:pos:R:3 pbc="T T T"
Ti 0.0000 0.0000 0.0000
V 0.0000 0.0000 4.9851
V 0.0000 0.0000 16.2081
P 0.0000 0.0000 10.5966
```

---

2.
# TiVP

A relaxed structure of TiVP (GGA-PBE, the Alexandria database).

Results
Calculated formation energy: -0.838 eV per atom
SG: C2/m
Total moment: 0.00 Bohr magnetons per cell

The structure in extended XYZ format:
```
6
Lattice="4.5500 -1.6655 0.0000 4.5500 1.6655 0.0000 -3.4544 0.0000 5.5107" Properties=species:S:1:pos:R:3 pbc="T T T"
Ti -0.4749 0.0000 1.8876
Ti 6.1205 0.0000 3.6231
V -0.1655 0.0000 5.1792
V 5.8110 0.0000 0.3315
P 2.0693 0.0000 1.7586
P 3.5763 0.0000 3.7521
```

---

3.
# TiVP

A relaxed structure of TiVP (GGA-PBE, the Alexandria database).

Results
Calculated formation energy: -0.931 eV per atom
SG: Cmcm
Total moment: 0.00 Bohr magnetons per cell

The structure in extended XYZ format:
```
6
Lattice="1.7458 -4.6772 0.0000 1.7458 4.6772 0.0000 0.0000 0.0000 5.0881" Properties=species:S:1:pos:R:3 pbc="T T T"
Ti 1.7458 2.8695 3.8161
Ti 1.7458 -2.8695 1.2720
V 1.7458 0.0000 0.0000
V 1.7458 0.0000 2.5441
P 1.7458 3.5866 1.2720
P 1.7458 -3.5866 3.8161
```

---

4.
# Ti3VP

A relaxed structure of Ti3VP (GGA-PBE, the Alexandria database).

Results
Calculated formation energy: -0.433 eV per atom
SG: C2/m
Total moment: 0.00 Bohr magnetons per cell
ΔE to the lowest computed polymorph: 0.000 eV/f.u.

The structure in extended XYZ format:
```
10
Lattice="4.7102 -3.7328 0.0000 4.7102 3.7328 0.0000 -3.7795 0.0000 4.6555" Properties=species:S:1:pos:R:3 pbc="T T T"
Ti -0.4996 0.0000 1.3307
Ti -0.3801 1.4631 3.6699
Ti -0.3801 -1.4631 3.6699
Ti 6.0210 1.4631 0.9856
Ti 6.0210 -1.4631 0.9856
Ti 6.1406 0.0000 3.3248
V 1.6666 0.0000 2.9682
V 3.9743 0.0000 1.6873
P 1.9677 0.0000 0.5363
P 3.6732 0.0000 4.1192
```

---

5.
# Ti3VP

A relaxed structure of Ti3VP (GGA-PBE, the Alexandria database).

Results
Calculated formation energy: 0.692 eV per atom
SG: Pm-3m
Total moment: 1.63 Bohr magnetons per cell
ΔE to the lowest computed polymorph: 5.627 eV/f.u.

The structure in extended XYZ format:
```
5
Lattice="4.4803 0.0000 0.0000 0.0000 4.4803 0.0000 0.0000 0.0000 4.4803" Properties=species:S:1:pos:R:3 pbc="T T T"
Ti 0.0000 0.0000 2.2402
Ti 0.0000 2.2402 0.0000
Ti 2.2402 0.0000 0.0000
V 0.0000 0.0000 0.0000
P 2.2402 2.2402 2.2402
```

---

6.
# TiVP2

A relaxed structure of TiVP2 (GGA-PBE, the Alexandria database).

Results
Calculated formation energy: -0.926 eV per atom
SG: P-3m1
Total moment: 0.00 Bohr magnetons per cell
ΔE to the lowest computed polymorph: 0.000 eV/f.u.

The structure in extended XYZ format:
```
4
Lattice="3.2782 0.0000 0.0000 -1.6391 2.8390 0.0000 0.0000 0.0000 6.2398" Properties=species:S:1:pos:R:3 pbc="T T T"
Ti 0.0000 0.0000 0.0000
V 0.0000 0.0000 3.1199
P 0.0000 1.8927 4.6172
P 1.6391 0.9463 1.6226
```

---

7.
# TiVP2

A relaxed structure of TiVP2 (GGA-PBE, the Alexandria database).

Results
Calculated formation energy: -0.776 eV per atom
SG: R-3m
Total moment: 0.00 Bohr magnetons per cell
ΔE to the lowest computed polymorph: 0.601 eV/f.u.

The structure in extended XYZ format:
```
4
Lattice="1.7355 1.0020 5.6280 -1.7355 1.0020 5.6280 0.0000 -2.0040 5.6280" Properties=species:S:1:pos:R:3 pbc="T T T"
Ti 0.0000 0.0000 0.0000
V 0.0000 0.0000 8.4420
P 0.0000 0.0000 4.1713
P 0.0000 0.0000 12.7127
```

---

8.
# TiVP2

A relaxed structure of TiVP2 (GGA-PBE, the Alexandria database).

Results
Calculated formation energy: -0.594 eV per atom
SG: Fm-3m
Total moment: 0.00 Bohr magnetons per cell
ΔE to the lowest computed polymorph: 1.330 eV/f.u.

The structure in extended XYZ format:
```
4
Lattice="0.0000 3.0043 3.0043 3.0043 0.0000 3.0043 3.0043 3.0043 0.0000" Properties=species:S:1:pos:R:3 pbc="T T T"
Ti 0.0000 0.0000 0.0000
V 3.0043 3.0043 3.0043
P 1.5021 1.5021 1.5021
P 4.5064 4.5064 4.5064
```

---

9.
# TiVP

A relaxed structure of TiVP (GGA-PBE, the Alexandria database).

Results
Calculated formation energy: -0.673 eV per atom
SG: Imm2
Total moment: 0.00 Bohr magnetons per cell

The structure in extended XYZ format:
```
6
Lattice="-1.6053 1.8531 7.3361 1.6053 -1.8531 7.3361 1.6053 1.8531 -7.3361" Properties=species:S:1:pos:R:3 pbc="T T T"
Ti 0.0000 0.0000 0.0000
Ti 0.0000 1.8531 2.5726
V 1.6053 0.0000 4.5673
V 0.0000 1.8531 4.9728
P 1.6053 0.0000 1.9890
P 0.0000 0.0000 6.5467
```

---

10.
# Ti5V2P

A relaxed structure of Ti5V2P (GGA-PBE, the Alexandria database).

Results
Calculated formation energy: -0.209 eV per atom
SG: I4/mcm
Total moment: 0.00 Bohr magnetons per cell

The structure in extended XYZ format:
```
16
Lattice="-3.0224 3.0224 6.8381 3.0224 -3.0224 6.8381 3.0224 3.0224 -6.8381" Properties=species:S:1:pos:R:3 pbc="T T T"
Ti 0.0000 0.0000 0.0000
Ti 3.9934 0.9710 -2.1853
Ti 0.9710 2.0514 -2.1853
Ti 3.9934 0.9710 2.1853
Ti 0.9710 2.0514 2.1853
Ti 0.0000 0.0000 6.8381
Ti 2.0514 0.9710 4.6529
Ti -0.9710 2.0514 4.6529
Ti 2.0514 0.9710 9.0234
Ti -0.9710 2.0514 9.0234
V 2.1611 0.8613 0.0000
V 2.1611 -0.8613 6.8381
V 0.8613 3.8837 0.0000
V 0.8613 2.1611 6.8381
P 0.0000 0.0000 3.4191
P 0.0000 0.0000 10.2572
```

---

11.
# TiVP

A relaxed structure of TiVP (GGA-PBE, the Alexandria database).

Results
Calculated formation energy: -1.015 eV per atom
SG: I4/mmm
Total moment: 0.00 Bohr magnetons per cell

The structure in extended XYZ format:
```
6
Lattice="-1.7643 1.7643 6.6302 1.7643 -1.7643 6.6302 1.7643 1.7643 -6.6302" Properties=species:S:1:pos:R:3 pbc="T T T"
Ti 0.0000 0.0000 2.3280
Ti 0.0000 0.0000 10.9323
V 1.7643 0.0000 0.0000
V 0.0000 1.7643 0.0000
P 0.0000 0.0000 4.8519
P 0.0000 0.0000 8.4084
```

---

12.
# TiV3P2

A relaxed structure of TiV3P2 (GGA-PBE, the Alexandria database).

Results
Calculated formation energy: -0.758 eV per atom
SG: C2/m
Total moment: 0.00 Bohr magnetons per cell

The structure in extended XYZ format:
```
12
Lattice="7.0746 -1.6717 0.0000 7.0746 1.6717 0.0000 -3.2403 0.0000 6.8038" Properties=species:S:1:pos:R:3 pbc="T T T"
Ti 1.2297 0.0000 0.8517
Ti 9.6793 0.0000 5.9521
V -1.5092 0.0000 4.5325
V 4.1320 0.0000 0.6899
V 3.1718 0.0000 3.5506
V 7.7372 0.0000 3.2531
V 6.7770 0.0000 6.1139
V 12.4182 0.0000 2.2713
P 1.0080 0.0000 4.9355
P 6.4740 0.0000 1.0847
P 4.4350 0.0000 5.7191
P 9.9010 0.0000 1.8683
```